# LaTl3 GGA-PBEsol relaxed
data_LaTl3
_symmetry_space_group_name_H-M 'P 4/m m m'
_symmetry_Int_Tables_number 123
_symmetry_space_group_name_Hall '-P 4 2'
_cell_length_a 3.911
_cell_length_b 3.911
_cell_length_c 7.347
_cell_angle_alpha 90.00
_cell_angle_beta 90.00
_cell_angle_gamma 90.00
loop_
_atom_site_label
_atom_site_type_symbol
_atom_site_fract_x
_atom_site_fract_y
_atom_site_fract_z
La1 La 0.000 0.000 0.000
Tl1 Tl 0.000 0.000 0.500
Tl2 Tl 0.500 0.500 0.268
# - calculated formation energy (meV/atom) = -234

# TlGaPS2 GGA-PBEsol relaxed
data_TlGaPS2
_symmetry_space_group_name_H-M 'P 4/m m m'
_symmetry_Int_Tables_number 123
_symmetry_space_group_name_Hall '-P 4 2'
_cell_length_a 5.119
_cell_length_b 5.119
_cell_length_c 5.051
_cell_angle_alpha 90.00
_cell_angle_beta 90.00
_cell_angle_gamma 90.00
loop_
_atom_site_label
_atom_site_type_symbol
_atom_site_fract_x
_atom_site_fract_y
_atom_site_fract_z
Tl1 Tl 0.000 0.000 0.000
Ga1 Ga 0.500 0.500 0.500
P1 P 0.000 0.000 0.500
S1 S 0.000 0.500 0.000
# - energy relative to the elements, uncorrected (eV per formula unit) = 4.4

# FeCu2Si GGA-PBEsol relaxed
data_FeCu2Si
_symmetry_space_group_name_H-M 'C 1 m 1'
_symmetry_Int_Tables_number 8
_symmetry_space_group_name_Hall 'C -2y'
_cell_length_a 8.773
_cell_length_b 2.560
_cell_length_c 4.433
_cell_angle_alpha 90.00
_cell_angle_beta 115.25
_cell_angle_gamma 90.00
loop_
_atom_site_label
_atom_site_type_symbol
_atom_site_fract_x
_atom_site_fract_y
_atom_site_fract_z
Fe1 Fe 0.000 0.000 0.000
Cu1 Cu 0.016 0.500 0.517
Cu2 Cu 0.260 0.500 0.410
Si1 Si 0.258 0.000 0.924
# - energy relative to the elements, uncorrected (eV per formula unit) = -0.3

# Tb3Ga5O12 GGA-PBEsol relaxed
data_Tb3Ga5O12
_symmetry_space_group_name_H-M 'I a -3 d'
_symmetry_Int_Tables_number 230
_symmetry_space_group_name_Hall '-I 4bd 2c 3'
_cell_length_a 12.283
_cell_length_b 12.283
_cell_length_c 12.283
_cell_angle_alpha 90.00
_cell_angle_beta 90.00
_cell_angle_gamma 90.00
loop_
_atom_site_label
_atom_site_type_symbol
_atom_site_fract_x
_atom_site_fract_y
_atom_site_fract_z
Tb1 Tb 0.000 0.250 0.125
Ga1 Ga 0.000 0.000 0.000
Ga2 Ga 0.000 0.250 0.375
O1 O 0.027 0.056 0.650
# - energy relative to the elements, uncorrected (eV per formula unit) = -52.2

# Mg3Ru2 GGA-PBEsol relaxed
data_Mg3Ru2
_symmetry_space_group_name_H-M 'P 41 3 2'
_symmetry_Int_Tables_number 213
_symmetry_space_group_name_Hall 'P 4bd 2ab 3'
_cell_length_a 6.883
_cell_length_b 6.883
_cell_length_c 6.883
_cell_angle_alpha 90.00
_cell_angle_beta 90.00
_cell_angle_gamma 90.00
loop_
_atom_site_label
_atom_site_type_symbol
_atom_site_fract_x
_atom_site_fract_y
_atom_site_fract_z
Mg1 Mg 0.044 0.125 0.794
Ru1 Ru 0.075 0.925 0.425
# - calculated formation energy (meV/atom) = -83
# - energy above the most stable polymorph in this dataset (eV/atom) = 0.000

# NaTlIn2 GGA-PBEsol relaxed
data_NaTlIn2
_symmetry_space_group_name_H-M 'F m -3 m'
_symmetry_Int_Tables_number 225
_symmetry_space_group_name_Hall '-F 4 2 3'
_cell_length_a 7.449
_cell_length_b 7.449
_cell_length_c 7.449
_cell_angle_alpha 90.00
_cell_angle_beta 90.00
_cell_angle_gamma 90.00
loop_
_atom_site_label
_atom_site_type_symbol
_atom_site_fract_x
_atom_site_fract_y
_atom_site_fract_z
Na1 Na 0.000 0.000 0.000
Tl1 Tl 0.000 0.000 0.500
In1 In 0.250 0.250 0.250
# - calculated formation energy (meV/atom) = -28